First-principles (PBE-GGA) data for crystalline DyTmAu4 at its relaxed geometry, as listed in Alexandria via LeMat-Bulk.

Computed properties:
density of states at the Fermi level	2.34	states/eV/cell
theoretical density	14.8	g/cm³
energy relative to the elements	-873	meV/atom

Lattice parameters (Å, degrees): 5.263 5.234 5.233 60.51 90.03 90.00
Element x y z (fractional)
Au1 0.001 0.663 0.163
Au2 0.501 0.161 0.662
Au3 0.001 0.332 0.833
Dy1 0.501 0.497 0.998
Tm1 0.001 0.997 0.498
Au4 0.501 0.834 0.334